Material: ZnPbS3
Method: DFT, PBE
State: relaxed

Cell and atoms, written as POSCAR:
```
ZnPbS3
1.0
-2.813 3.025 -2.330
-3.810 -2.036 1.957
0.248 3.032 3.638
S Zn Pb
3 1 1
Direct
0.000 0.000 0.500 S
0.500 0.000 0.000 S
0.000 0.500 0.000 S
0.000 0.000 0.000 Zn
0.500 0.500 0.500 Pb
```

Output
Size of the total moment (Bohr magnetons per cell): 0.0
Formation energy (no corrections) (kJ/mol of atoms): 4.5
VASP energy (eV/atom): -3.426
Space-group type: No. 221
Polymorph energy (0 for the lowest one) (eV/atom): 0.000